Record 1
A PBEsol-optimized structure of Ba3Ga2S6. Source: Alexandria, functional meta-GGA SCAN.

Cell: 8.469 8.469 8.979 Å, 90.88 90.88 115.64°
Sites, in units of the cell vectors:
Ba: 0.038 0.962 0.750
Ba: 0.267 0.544 0.991
Ba: 0.456 0.733 0.509
Ba: 0.544 0.267 0.491
Ba: 0.733 0.456 0.009
Ba: 0.962 0.038 0.250
Ga: 0.020 0.344 0.571
Ga: 0.344 0.020 0.071
Ga: 0.656 0.980 0.929
Ga: 0.980 0.656 0.429
S: 0.078 0.795 0.046
S: 0.083 0.467 0.331
S: 0.205 0.922 0.454
S: 0.273 0.367 0.670
S: 0.367 0.273 0.170
S: 0.467 0.083 0.831
S: 0.533 0.917 0.169
S: 0.633 0.727 0.830
S: 0.727 0.633 0.330
S: 0.795 0.078 0.546
S: 0.917 0.533 0.669
S: 0.922 0.205 0.954

- space group = C2/c, No. 15
- ΔE_f (raw) (eV/atom) = -1.74

Record 2
A PBEsol-optimized structure of LiTl. Source: Alexandria, functional meta-GGA SCAN.

Cell: 5.615 5.615 5.615 Å, 135.84 135.84 64.22°
Sites, in units of the cell vectors:
Li: 0.375 0.625 0.750
Li: 0.625 0.375 0.250
Tl: 0.125 0.875 0.250
Tl: 0.875 0.125 0.750

- ΔH_f (0 K) (eV/atom) = -0.25
- space group = I4_1/amd, No. 141

Record 3
A PBEsol-optimized structure of CaZrCd2. Source: Alexandria, functional meta-GGA SCAN.

Cell: 5.173 5.173 3.433 Å, 90.00 90.00 90.00°
Sites, in units of the cell vectors:
Ca: 0.000 0.000 0.000
Zr: 0.500 0.500 0.000
Cd: 0.000 0.500 0.500
Cd: 0.500 0.000 0.500

- ΔH_f (0 K) (eV/atom) = -0.23
- space group = P4/mmm, No. 123

Record 4
A PBEsol-optimized structure of ScHPd3. Source: Alexandria, functional meta-GGA SCAN.

Cell: 3.988 3.988 3.988 Å, 90.00 90.00 90.00°
Sites, in units of the cell vectors:
Sc: 0.000 0.000 0.000
H: 0.500 0.500 0.500
Pd: 0.000 0.500 0.500
Pd: 0.500 0.000 0.500
Pd: 0.500 0.500 0.000

- excess energy over the best structure of this formula in the dataset (meV per atom) = 0.0
- space group = Pm-3m, No. 221

Record 5
A PBEsol-optimized structure of MnOF. Source: Alexandria, functional meta-GGA SCAN.

Cell: 5.036 4.552 5.618 Å, 90.00 90.18 90.00°
Sites, in units of the cell vectors:
Mn: 0.224 0.018 0.345
Mn: 0.224 0.482 0.845
Mn: 0.776 0.518 0.155
Mn: 0.776 0.982 0.655
O: 0.082 0.219 0.614
O: 0.082 0.281 0.114
O: 0.918 0.719 0.886
O: 0.918 0.781 0.386
F: 0.429 0.740 0.122
F: 0.429 0.760 0.622
F: 0.571 0.240 0.378
F: 0.571 0.260 0.878

- space group = P2_1/c, No. 14
- ΔE_f (raw) (eV/atom) = -2.42

Record 6
A PBEsol-optimized structure of TcIrW2. Source: Alexandria, functional meta-GGA SCAN.

Cell: 4.828 4.828 4.828 Å, 132.79 132.79 68.98°
Sites, in units of the cell vectors:
Tc: 0.000 0.000 0.000
Ir: 0.750 0.250 0.500
W: 0.250 0.750 0.500
W: 0.500 0.500 0.000

- excess energy over the best structure of this formula in the dataset (meV per atom) = 61.9
- ΔH_f (0 K) (eV/atom) = -0.05
- space group = I-4m2, No. 119

Record 7
A PBEsol-optimized structure of K3YPb. Source: Alexandria, functional meta-GGA SCAN.

Cell: 6.586 6.586 6.586 Å, 90.00 90.00 90.00°
Sites, in units of the cell vectors:
K: 0.000 0.000 0.500
K: 0.000 0.500 0.000
K: 0.500 0.000 0.000
Y: 0.000 0.000 0.000
Pb: 0.500 0.500 0.500

- ΔH_f (0 K) (eV/atom) = 1.00
- space group = Pm-3m, No. 221

Record 8
A PBEsol-optimized structure of MgAg2. Source: Alexandria, functional meta-GGA SCAN.

Cell: 4.409 4.409 4.409 Å, 60.00 60.00 60.00°
Sites, in units of the cell vectors:
Mg: 0.000 0.000 0.000
Ag: 0.250 0.250 0.250
Ag: 0.750 0.750 0.750

- excess energy over the best structure of this formula in the dataset (meV per atom) = 343.3
- ΔH_f (0 K) (eV/atom) = 0.16
- space group = Fm-3m, No. 225

Record 9
A PBEsol-optimized structure of Mn2CuOs. Source: Alexandria, functional meta-GGA SCAN.

Cell: 2.617 2.617 7.021 Å, 90.00 90.00 90.00°
Sites, in units of the cell vectors:
Mn: 0.000 0.000 0.000
Mn: 0.500 0.500 0.236
Cu: 0.500 0.500 0.751
Os: 0.000 0.000 0.479

- ΔH_f (0 K) (eV/atom) = 0.09
- space group = P4mm, No. 99

Record 10
A PBEsol-optimized structure of HoCuSb2. Source: Alexandria, functional meta-GGA SCAN.

Cell: 4.249 4.249 9.574 Å, 90.00 90.00 90.00°
Sites, in units of the cell vectors:
Ho: 0.250 0.250 0.249
Ho: 0.750 0.750 0.751
Cu: 0.250 0.750 0.000
Cu: 0.750 0.250 0.000
Sb: 0.250 0.250 0.837
Sb: 0.250 0.750 0.500
Sb: 0.750 0.250 0.500
Sb: 0.750 0.750 0.163

- space group = P4/nmm, No. 129
- ΔE_f (raw) (eV/atom) = -0.66

Record 11
A PBEsol-optimized structure of ZnCo2Tc. Source: Alexandria, functional meta-GGA SCAN.

Cell: 4.460 4.460 4.342 Å, 101.42 101.42 33.50°
Sites, in units of the cell vectors:
Zn: 0.000 0.000 0.000
Co: 0.248 0.248 0.813
Co: 0.514 0.514 0.509
Tc: 0.768 0.768 0.324

- ΔH_f (0 K) (eV/atom) = 0.22
- space group = Cm, No. 8

Record 12
A PBEsol-optimized structure of BaLi2Hg. Source: Alexandria, functional meta-GGA SCAN.

Cell: 6.500 6.500 3.805 Å, 105.98 105.98 119.12°
Sites, in units of the cell vectors:
Ba: 0.000 0.000 0.000
Li: 0.000 0.500 0.500
Li: 0.500 0.000 0.500
Hg: 0.500 0.500 0.000

- ΔH_f (0 K) (eV/atom) = -0.10
- space group = C2/m, No. 12

Record 13
A PBEsol-optimized structure of Tc2HgW. Source: Alexandria, functional meta-GGA SCAN.

Cell: 2.878 3.885 5.733 Å, 90.00 90.00 90.00°
Sites, in units of the cell vectors:
Tc: 0.000 0.000 0.211
Tc: 0.000 0.000 0.789
Hg: 0.500 0.500 0.500
W: 0.500 0.500 0.000

- ΔH_f (0 K) (eV/atom) = 0.39
- space group = Pmmm, No. 47

Record 14
A PBEsol-optimized structure of LiAlNO2. Source: Alexandria, functional meta-GGA SCAN.

Cell: 3.417 3.417 3.712 Å, 90.00 90.00 90.00°
Sites, in units of the cell vectors:
Li: 0.000 0.000 0.000
Al: 0.500 0.500 0.500
N: 0.000 0.000 0.500
O: 0.000 0.500 0.000
O: 0.500 0.000 0.000

- space group = P4/mmm, No. 123
- ΔE_f (raw) (eV/atom) = 0.13

Record 15
A PBEsol-optimized structure of HgOsSCl2. Source: Alexandria, functional meta-GGA SCAN.

Cell: 4.411 4.411 5.656 Å, 90.00 90.00 90.00°
Sites, in units of the cell vectors:
Hg: 0.000 0.000 0.000
Os: 0.000 0.000 0.500
S: 0.500 0.500 0.000
Cl: 0.000 0.500 0.500
Cl: 0.500 0.000 0.500

- space group = P4/mmm, No. 123
- ΔE_f (raw) (eV/atom) = 0.63

Record 16
A PBEsol-optimized structure of Cs2CaO2. Source: Alexandria, functional meta-GGA SCAN.

Cell: 11.190 6.677 6.437 Å, 90.00 90.00 90.00°
Sites, in units of the cell vectors:
Cs: 0.157 0.113 0.079
Cs: 0.157 0.887 0.579
Cs: 0.343 0.387 0.579
Cs: 0.343 0.613 0.079
Cs: 0.657 0.387 0.921
Cs: 0.657 0.613 0.421
Cs: 0.843 0.113 0.421
Cs: 0.843 0.887 0.921
Ca: 0.000 0.482 0.750
Ca: 0.000 0.518 0.250
Ca: 0.500 0.018 0.250
Ca: 0.500 0.982 0.750
O: 0.096 0.323 0.488
O: 0.096 0.677 0.988
O: 0.404 0.177 0.988
O: 0.404 0.823 0.488
O: 0.596 0.177 0.512
O: 0.596 0.823 0.012
O: 0.904 0.323 0.012
O: 0.904 0.677 0.512

- space group = Pbcn, No. 60
- ΔE_f (raw) (eV/atom) = -1.88

Record 17
A PBEsol-optimized structure of KZn2Tc. Source: Alexandria, functional meta-GGA SCAN.

Cell: 4.714 4.714 4.714 Å, 60.00 60.00 60.00°
Sites, in units of the cell vectors:
K: 0.000 0.000 0.000
Zn: 0.250 0.250 0.250
Zn: 0.750 0.750 0.750
Tc: 0.500 0.500 0.500

- ΔH_f (0 K) (eV/atom) = 0.86
- space group = Fm-3m, No. 225

Record 18
A PBEsol-optimized structure of ErAlPd. Source: Alexandria, functional meta-GGA SCAN.

Cell: 7.015 7.015 3.988 Å, 90.00 90.00 120.00°
Sites, in units of the cell vectors:
Er: 0.000 0.584 0.000
Er: 0.416 0.416 0.000
Er: 0.584 0.000 0.000
Al: 0.000 0.240 0.500
Al: 0.240 0.000 0.500
Al: 0.760 0.760 0.500
Pd: 0.000 0.000 0.000
Pd: 0.333 0.667 0.500
Pd: 0.667 0.333 0.500

- ΔH_f (0 K) (eV/atom) = -1.01
- space group = P-62m, No. 189

Record 19
A PBEsol-optimized structure of NiMoIr. Source: Alexandria, functional meta-GGA SCAN.

Cell: 4.582 4.582 4.582 Å, 145.80 132.12 60.15°
Sites, in units of the cell vectors:
Ni: 0.000 0.000 0.000
Mo: 0.334 0.334 0.000
Ir: 0.664 0.664 0.000

- ΔH_f (0 K) (eV/atom) = -0.23
- space group = Imm2, No. 44

Record 20
A PBEsol-optimized structure of LaAgO3. Source: Alexandria, functional meta-GGA SCAN.

Cell: 4.377 4.377 4.377 Å, 90.00 90.00 90.00°
Sites, in units of the cell vectors:
La: 0.000 0.000 0.000
Ag: 0.500 0.500 0.500
O: 0.000 0.000 0.500
O: 0.000 0.500 0.000
O: 0.500 0.000 0.000

- space group = Pm-3m, No. 221
- ΔE_f (raw) (eV/atom) = -1.09

no.,E (eV for the cell shown),D(E_F) (states/eV/f.u.),magnetization (μB/cell)
1,-456.51,0.0,0.000
2,-150.48,0.8,0.000
3,-102.12,2.6,0.826
4,-119.73,0.4,0.000
5,-141.16,0.4,16.000
6,-245.72,3.1,0.000
7,-123.60,7.4,2.769
8,-67.24,0.7,0.000
9,-123.23,3.3,1.990
10,-282.71,1.1,0.000
11,-82.30,3.6,0.001
12,-112.89,2.3,0.041
13,-206.40,3.3,0.000
14,-31.24,1.1,3.000
15,-162.49,3.5,0.696
16,-428.67,0.0,0.002
17,-67.00,1.4,2.394
18,-281.73,1.9,0.000
19,-122.84,2.4,0.015
20,-98.60,2.0,0.479